LiZr2Cu2, optimized geometry, DFT PBE; space-group type = P4/mbm (127); ΔE_f = -0.002 eV per atom; polymorph energy (0 for the lowest one) = 0.000 eV per atom
1.0
7.780 0.000 0.000
0.000 7.780 0.000
0.000 0.000 2.974
Li Zr Cu
2 4 4
Cartesian
0.000 0.000 0.000
3.890 3.890 0.000
1.335 2.555 1.487
2.555 6.445 1.487
5.225 1.335 1.487
6.445 5.225 1.487
0.955 4.845 0.000
2.935 0.955 0.000
4.845 6.825 0.000
6.825 2.935 0.000